1.
! Tb6Mg2Rh PBE-GGA optimized geometry; values from VASP
&SYSTEM
  ibrav = 0, nat = 9, ntyp = 3
/
ATOMIC_SPECIES
Tb 158.93 Tb.upf
Mg 24.30 Mg.upf
Rh 102.91 Rh.upf
ATOMIC_POSITIONS crystal
Tb 0.0000 0.3954 0.2928
Tb 0.0000 0.1026 0.7072
Tb 0.0000 0.6046 0.7072
Tb 0.5000 0.2426 0.0000
Tb 0.0000 0.8974 0.2928
Tb 0.5000 0.7574 0.0000
Mg 0.5000 0.7445 0.4890
Mg 0.5000 0.2555 0.5110
Rh 0.0000 0.0000 0.0000
CELL_PARAMETERS angstrom
-3.9124 2.6542 -1.4891
-3.0433 -1.1341 5.9744
4.7736 6.9718 -0.1149
! Energy relative to the elements ... -0.07 eV/atom


2.
! Tb8Mg2Rh PBE-GGA optimized geometry; values from VASP
&SYSTEM
  ibrav = 0, nat = 11, ntyp = 3
/
ATOMIC_SPECIES
Tb 158.93 Tb.upf
Mg 24.30 Mg.upf
Rh 102.91 Rh.upf
ATOMIC_POSITIONS crystal
Tb 0.3991 0.5932 0.7981
Tb 0.6447 0.9251 0.2894
Tb 0.8071 0.7497 0.6142
Tb 0.9856 0.2246 0.9712
Tb 0.1929 0.2503 0.3858
Tb 0.3553 0.0749 0.7106
Tb 0.6009 0.4068 0.2019
Tb 0.0144 0.7754 0.0288
Mg 0.8159 0.3075 0.6318
Mg 0.1841 0.6925 0.3682
Rh 0.5000 0.0000 0.0000
CELL_PARAMETERS angstrom
-4.9489 -1.9868 1.4436
2.9046 -6.2742 1.3222
2.5158 6.0501 6.3793
! Energy relative to the elements ... -0.14 eV/atom


3.
! TbMg3Rh PBE-GGA optimized geometry; values from VASP
&SYSTEM
  ibrav = 0, nat = 10, ntyp = 3
/
ATOMIC_SPECIES
Tb 158.93 Tb.upf
Mg 24.30 Mg.upf
Rh 102.91 Rh.upf
ATOMIC_POSITIONS crystal
Tb 0.7192 0.9476 0.8761
Tb 0.3151 0.4476 0.6844
Mg 0.8858 0.4476 0.1702
Mg 0.1485 0.9476 0.3904
Mg 0.7192 0.1986 0.4872
Mg 0.7192 0.6966 0.4872
Mg 0.3151 0.6986 0.0734
Mg 0.3151 0.1966 0.0734
Rh 0.8821 0.4476 0.8134
Rh 0.1522 0.9476 0.7472
CELL_PARAMETERS angstrom
4.9265 0.0000 -2.1900
-0.0001 5.8437 0.0000
-0.1209 0.0000 7.7455
! Energy relative to the elements ... -0.38 eV/atom


4.
! Tb2Mg3Rh2 PBE-GGA optimized geometry; values from VASP
&SYSTEM
  ibrav = 0, nat = 7, ntyp = 3
/
ATOMIC_SPECIES
Tb 158.93 Tb.upf
Mg 24.30 Mg.upf
Rh 102.91 Rh.upf
ATOMIC_POSITIONS crystal
Tb 0.8510 0.7019 0.2038
Tb 0.1490 0.2981 0.7962
Mg 0.5000 0.0000 0.0000
Mg 0.6367 0.2734 0.4401
Mg 0.3633 0.7266 0.5599
Rh 0.8494 0.6987 0.8069
Rh 0.1506 0.3013 0.1931
CELL_PARAMETERS angstrom
4.2010 0.0000 0.0000
-2.1005 5.0673 -0.1394
0.0000 -2.5222 7.0992
! Energy relative to the elements ... -0.56 eV/atom